No. 1
The following is a PBEsol calculation of AlFeC3 after structural relaxation, from Alexandria via LeMat-Bulk.

abc: 3.7020 3.7020 3.7020
angles: 90.00 90.00 90.00
Element x y z (fractional)
Al: 0.0000 0.0000 0.0000
Fe: 0.5000 0.5000 0.5000
C: 0.0000 0.5000 0.5000
C: 0.5000 0.0000 0.5000
C: 0.5000 0.5000 0.0000

Values from the calculation:
Energy of formation (eV/atom): 1.75

No. 2
The following is a PBEsol calculation of Al2FeC2 after structural relaxation, from Alexandria via LeMat-Bulk.

abc: 3.5640 3.5640 7.9011
angles: 90.00 90.00 90.00
Element x y z (fractional)
Al: 0.0000 0.5000 0.2500
Al: 0.0000 0.5000 0.7500
Al: 0.5000 0.0000 0.2500
Al: 0.5000 0.0000 0.7500
Fe: 0.0000 0.0000 0.0000
Fe: 0.5000 0.5000 0.5000
C: 0.0000 0.0000 0.4041
C: 0.0000 0.0000 0.5959
C: 0.5000 0.5000 0.0959
C: 0.5000 0.5000 0.9041

Values from the calculation:
Energy of formation (eV/atom): 0.77